# 1
First-principles (PBE) data for crystalline TlRhI2O at its relaxed geometry, as listed in Alexandria via LeMat-Bulk.

The structure in CIF format:
```
data_TlRhI2O
_cell_length_a 6.082
_cell_length_b 6.082
_cell_length_c 4.046
_cell_angle_alpha 90.00
_cell_angle_beta 90.00
_cell_angle_gamma 90.00
_symmetry_space_group_name_H-M 'P 4/m m m'
_symmetry_Int_Tables_number 123
_symmetry_space_group_name_Hall '-P 4 2'
loop_
_atom_site_label
_atom_site_type_symbol
_atom_site_fract_x
_atom_site_fract_y
_atom_site_fract_z
_atom_site_occupancy
Tl1 Tl 0.000 0.000 0.000 1
Rh1 Rh 0.500 0.500 0.500 1
I1 I 0.000 0.500 0.000 1
O1 O 0.000 0.000 0.500 1
```

calculated volume	29.9	Å³ per atom
N(E_F)	5.25	states/eV per cell
uncorrected energy	-14.8	eV per cell
total moment	2.12	μB/f.u.
formation energy without anion corrections	3.0	eV/f.u.
energy above the most stable polymorph in this dataset	935	meV per atom

***

# 2
First-principles (PBE) data for crystalline IrRu2Rh2 at its relaxed geometry, as listed in Alexandria via LeMat-Bulk.

The structure in CIF format:
```
data_IrRu2Rh2
_cell_length_a 4.658
_cell_length_b 4.658
_cell_length_c 7.669
_cell_angle_alpha 90.00
_cell_angle_beta 90.00
_cell_angle_gamma 90.00
_symmetry_space_group_name_H-M 'I 4/m m m'
_symmetry_Int_Tables_number 139
_symmetry_space_group_name_Hall '-I 4 2'
loop_
_atom_site_label
_atom_site_type_symbol
_atom_site_fract_x
_atom_site_fract_y
_atom_site_fract_z
_atom_site_occupancy
Ir1 Ir 0.000 0.000 0.000 1
Ru1 Ru 0.000 0.500 0.250 1
Rh1 Rh 0.000 0.000 0.348 1
```

calculated volume	16.6	Å³ per atom
N(E_F)	19.77	states/eV per cell
uncorrected energy	-73.8	eV per cell
total moment	0.00	μB/f.u.
energy above the most stable polymorph in this dataset	1036	meV per atom

***

# 3
First-principles (PBE) data for crystalline LiMn2Fe at its relaxed geometry, as listed in Alexandria via LeMat-Bulk.

The structure in CIF format:
```
data_LiMn2Fe
_cell_length_a 6.378
_cell_length_b 6.378
_cell_length_c 4.708
_cell_angle_alpha 90.00
_cell_angle_beta 90.00
_cell_angle_gamma 90.00
_symmetry_space_group_name_H-M 'I -4 2 d'
_symmetry_Int_Tables_number 122
_symmetry_space_group_name_Hall 'I -4 2bw'
loop_
_atom_site_label
_atom_site_type_symbol
_atom_site_fract_x
_atom_site_fract_y
_atom_site_fract_z
_atom_site_occupancy
Li1 Li 0.000 0.000 0.000 1
Mn1 Mn 0.206 0.250 0.625 1
Fe1 Fe 0.000 0.000 0.500 1
```

calculated volume	12.0	Å³ per atom
N(E_F)	33.26	states/eV per cell
uncorrected energy	-103.2	eV per cell
total moment	0.00	μB/f.u.
energy above the most stable polymorph in this dataset	507	meV per atom

***

# 4
First-principles (PBE) data for crystalline Mg6Cd5Cu at its relaxed geometry, as listed in Alexandria via LeMat-Bulk.

The structure in CIF format:
```
data_Mg6Cd5Cu
_cell_length_a 4.452
_cell_length_b 13.562
_cell_length_c 8.243
_cell_angle_alpha 90.00
_cell_angle_beta 90.00
_cell_angle_gamma 90.00
_symmetry_space_group_name_H-M 'C m m m'
_symmetry_Int_Tables_number 65
_symmetry_space_group_name_Hall '-C 2 2'
loop_
_atom_site_label
_atom_site_type_symbol
_atom_site_fract_x
_atom_site_fract_y
_atom_site_fract_z
_atom_site_occupancy
Mg1 Mg 0.000 0.000 0.230 1
Mg2 Mg 0.000 0.338 0.239 1
Cd1 Cd 0.000 0.164 0.000 1
Cd2 Cd 0.000 0.167 0.500 1
Cd3 Cd 0.000 0.500 0.500 1
Cu1 Cu 0.000 0.500 0.000 1
```

calculated volume	20.7	Å³ per atom
N(E_F)	9.77	states/eV per cell
uncorrected energy	-38.1	eV per cell
total moment	0.00	μB/f.u.

***

# 5
First-principles (PBE) data for crystalline Li4CaCd2 at its relaxed geometry, as listed in Alexandria via LeMat-Bulk.

The structure in CIF format:
```
data_Li4CaCd2
_cell_length_a 8.138
_cell_length_b 8.138
_cell_length_c 4.722
_cell_angle_alpha 90.00
_cell_angle_beta 90.00
_cell_angle_gamma 90.00
_symmetry_space_group_name_H-M 'P 42/m n m'
_symmetry_Int_Tables_number 136
_symmetry_space_group_name_Hall '-P 4n 2n'
loop_
_atom_site_label
_atom_site_type_symbol
_atom_site_fract_x
_atom_site_fract_y
_atom_site_fract_z
_atom_site_occupancy
Li1 Li 0.102 0.358 0.000 1
Ca1 Ca 0.000 0.000 0.500 1
Cd1 Cd 0.215 0.785 0.000 1
```

calculated volume	22.3	Å³ per atom
N(E_F)	8.05	states/eV per cell
uncorrected energy	-25.4	eV per cell
total moment	0.00	μB/f.u.
energy above the most stable polymorph in this dataset	0	meV per atom

***

# 6
First-principles (PBE) data for crystalline Pm2SmZn9 at its relaxed geometry, as listed in Alexandria via LeMat-Bulk.

The structure in CIF format:
```
data_Pm2SmZn9
_cell_length_a 5.5023
_cell_length_b 5.5023
_cell_length_c 26.1672
_cell_angle_alpha 90.00
_cell_angle_beta 90.00
_cell_angle_gamma 120.00
_symmetry_space_group_name_H-M 'R -3 m'
_symmetry_Int_Tables_number 166
_symmetry_space_group_name_Hall '-R 3 2"'
loop_
_atom_site_label
_atom_site_type_symbol
_atom_site_fract_x
_atom_site_fract_y
_atom_site_fract_z
_atom_site_occupancy
Pm1 Pm 0.0000 0.0000 0.1406 1
Sm1 Sm 0.0000 0.0000 0.0000 1
Zn1 Zn 0.0000 0.0000 0.3348 1
Zn2 Zn 0.0000 0.0000 0.5000 1
Zn3 Zn 0.0043 0.5021 0.9188 1
```

calculated volume	19.1	Å³ per atom
N(E_F)	20.49	states/eV per cell
uncorrected energy	-88.0	eV per cell
total moment	0.00	μB/f.u.